# SrHg12Au6 PBE optimized geometry
# energy of formation from the pure elements = -28.9 meV/atom
data_SrHg12Au6
_chemical_formula_sum 'Sr3 Hg36 Au18'
_cell_length_a 12.9147
_cell_length_b 12.9147
_cell_length_c 9.6230
_cell_angle_alpha 90.00
_cell_angle_beta 90.00
_cell_angle_gamma 120.00
_symmetry_space_group_name_H-M 'R -3 m'
_symmetry_Int_Tables_number 166
_symmetry_space_group_name_Hall '-R 3 2"'
loop_
_atom_site_label
_atom_site_type_symbol
_atom_site_fract_x
_atom_site_fract_y
_atom_site_fract_z
_atom_site_occupancy
Sr1 Sr 0.0000 0.0000 0.0000 1
Hg1 Hg 0.0000 0.3868 0.5000 1
Hg2 Hg 0.0821 0.1641 0.3007 1
Au1 Au 0.0545 0.5273 0.2379 1

***

# Na2CaTl3Br6 PBE optimized geometry
# E_form (uncorrected) = -1.2348 eV/atom
data_Na2CaTl3Br6
_chemical_formula_sum 'Na4 Ca2 Tl6 Br12'
_cell_length_a 7.294
_cell_length_b 12.676
_cell_length_c 8.831
_cell_angle_alpha 90.00
_cell_angle_beta 106.16
_cell_angle_gamma 90.00
_symmetry_space_group_name_H-M 'C 1 2/m 1'
_symmetry_Int_Tables_number 12
loop_
_symmetry_equiv_pos_as_xyz
'x,y,z'
'-x,-y,-z'
'-x,y,-z'
'x,-y,z'
'x+1/2,y+1/2,z'
'-x+1/2,-y+1/2,-z'
'-x+1/2,y+1/2,-z'
'x+1/2,-y+1/2,z'
loop_
_atom_site_label
_atom_site_type_symbol
_atom_site_fract_x
_atom_site_fract_y
_atom_site_fract_z
_atom_site_occupancy
Na1 Na 0.000 0.166 0.000 1
Ca1 Ca 0.000 0.500 0.000 1
Tl1 Tl 0.000 0.000 0.500 1
Tl2 Tl 0.000 0.326 0.500 1
Br1 Br 0.229 0.338 0.196 1
Br2 Br 0.244 0.000 0.202 1

***

Number 1: density of states at the Fermi level 20.308 states/eV per cell. Number 2: density of states at the Fermi level 8.926 states/eV per cell.